# 1
Computed, not measured: a relaxed Y2MgPt crystal at the PBE-GGA level of DFT.

Computed properties:
space group: No. 216
calculated total energy: -22.3 eV for the cell shown
energy of formation: -0.43 eV per atom

abc: 4.984 4.984 4.984
angles: 60.00 60.00 60.00
Positions (direct):
Mg (0.500, 0.500, 0.500)
Y (0.000, 0.000, 0.000)
Y (0.250, 0.250, 0.250)
Pt (0.750, 0.750, 0.750)

=====

# 2
Computed, not measured: a relaxed Sc2TaPd2 crystal at the PBE-GGA level of DFT.

Computed properties:
space group: No. 127
calculated total energy: -73.9 eV for the cell shown
energy of formation: -0.41 eV per atom

abc: 7.468 7.468 3.341
angles: 90.00 90.00 90.00
Positions (direct):
Sc (0.669, 0.831, 0.500)
Sc (0.331, 0.169, 0.500)
Sc (0.169, 0.669, 0.500)
Sc (0.831, 0.331, 0.500)
Ta (0.500, 0.500, 0.000)
Ta (0.000, 0.000, 0.000)
Pd (0.632, 0.132, 0.000)
Pd (0.132, 0.368, 0.000)
Pd (0.368, 0.868, 0.000)
Pd (0.868, 0.632, 0.000)

=====

> Look up the energy of formation of the second one.

-0.41 eV per atom

=====

> Look up the energy of formation of the second one.

-0.41 eV per atom